Density functional theory data (PBE) for a relaxed Dy2Er2Lu3Ni2Te2 crystal.

Properties
The calculation puts the polymorph energy (0 for the lowest one) at 0 kJ/mol of formula units. The symmetry is No. 44.

Lattice parameters (Å, degrees): 9.2367 9.2367 9.2367 156.12 67.13 118.31
Last column: nearest neighbours and their distance in Å.
Element x y z (fractional)
Dy 0.4172 0.2708 0.1463  2 Ni 2.81, 2 Te 3.13
Dy 0.1245 0.2708 0.8537  2 Ni 2.81, 2 Te 3.13
Er 0.7831 0.4177 0.3655  2 Ni 2.76
Er 0.0522 0.4177 0.6345  2 Ni 2.76
Lu 0.8077 0.6228 0.1849  2 Ni 2.75
Lu 0.4998 0.9998 0.5000  3 Te 3.16-3.21
Lu 0.4378 0.6228 0.8151  2 Ni 2.75
Ni 0.1951 0.9314 0.2637  2 Lu 2.75, 2 Er 2.76, 2 Dy 2.81
Ni 0.6678 0.9314 0.7363  2 Lu 2.75, 2 Er 2.76, 2 Dy 2.81
Te 0.7657 0.7657 0.0000  4 Lu 3.15-3.16, 4 Er 3.16
Te 0.1610 0.6610 0.5000  2 Er 3.10, 4 Dy 3.13, 1 Lu 3.21

***

Density functional theory data (PBE) for a relaxed Zn2CuW crystal.

Properties
The formation energy comes out at 499 meV per atom. The calculation puts the polymorph energy (0 for the lowest one) at 1 kJ/mol of formula units. The symmetry is No. 216.

Lattice parameters (Å, degrees): 4.3077 4.3077 4.3077 60.00 60.00 60.00
Last column: nearest neighbours and their distance in Å.
Element x y z (fractional)
Cu 0.7500 0.7500 0.7500  4 Zn 2.64, 4 W 2.64
W 0.5000 0.5000 0.5000  4 Zn 2.64, 4 Cu 2.64
Zn 0.0000 0.0000 0.0000  4 Cu 2.64, 4 Zn 2.64
Zn 0.2500 0.2500 0.2500  4 W 2.64, 4 Zn 2.64

***

Density functional theory data (PBE) for a relaxed KSi2Au2 crystal.

Properties
The calculation puts the polymorph energy (0 for the lowest one) at 0 kJ/mol of formula units. The symmetry is No. 139.

Lattice parameters (Å, degrees): 4.5530 4.5530 5.9569 112.47 112.47 90.00
Last column: nearest neighbours and their distance in Å.
Element x y z (fractional)
Au 0.7500 0.2500 0.5000  4 Si 2.61
Au 0.2500 0.7500 0.5000  4 Si 2.61
K 0.0000 0.0000 0.0000  8 Au 3.39, 10 Si 3.45-3.78
Si 0.6233 0.6233 0.2466  1 Si 2.47, 4 Au 2.61
Si 0.3767 0.3767 0.7534  1 Si 2.47, 4 Au 2.61

***

Density functional theory data (PBE) for a relaxed TeWSe2SBr crystal.

Properties
The calculation puts the polymorph energy (0 for the lowest one) at 0 kJ/mol of formula units. The symmetry is No. 2.

Lattice parameters (Å, degrees): 6.3941 8.1757 8.3778 117.16 105.98 96.24
Last column: nearest neighbours and their distance in Å.
Element x y z (fractional)
Br 0.7310 0.6316 0.3984  1 Te 2.77
Br 0.2690 0.3684 0.6016  1 Te 2.77
S 0.0306 0.8568 0.1381  2 W 2.44, 1 Te 2.61
S 0.9694 0.1432 0.8619  2 W 2.44, 1 Te 2.61
Se 0.4687 0.7587 0.0070  1 Se 2.34
Se 0.6097 0.0673 0.2792  1 Se 2.34
Se 0.3903 0.9327 0.7208  1 Se 2.34
Se 0.5313 0.2413 0.9930  1 Se 2.34
Te 0.1311 0.3268 0.2379  1 S 2.61, 2 W 2.75, 1 Br 2.77
Te 0.8689 0.6732 0.7621  1 S 2.61, 2 W 2.75, 1 Br 2.77
W 0.7768 0.9999 0.0003  2 S 2.44, 4 Se 2.66-2.69
W 0.2232 0.0001 0.9997  2 S 2.44, 4 Se 2.66-2.69

***

Density functional theory data (PBE) for a relaxed RbZrSn crystal.

Properties
The calculation puts the polymorph energy (0 for the lowest one) at 210 kJ/mol of formula units. The symmetry is No. 216.

Lattice parameters (Å, degrees): 5.2923 5.2923 5.2923 60.00 60.00 60.00
Last column: nearest neighbours and their distance in Å.
Element x y z (fractional)
Rb 0.0000 0.0000 0.0000  4 Zr 3.24, 4 Sn 3.24
Sn 0.2500 0.2500 0.2500  4 Rb 3.24
Zr 0.7500 0.7500 0.7500  4 Rb 3.24

***

Density functional theory data (PBE) for a relaxed TbYBPb crystal.

Properties
Its electronic total energy is -5.5753 eV per atom. The symmetry is No. 164.

Lattice parameters (Å, degrees): 3.7053 3.7053 16.7663 90.00 90.00 120.00
Last column: nearest neighbours and their distance in Å.
Element x y z (fractional)
B 0.0000 0.0000 0.0000  6 Tb 2.62
B 0.0000 0.0000 0.5000  6 Y 2.62
Pb 0.6667 0.3333 0.2507  3 Y 3.43, 3 Tb 3.44, 6 Pb 3.71
Pb 0.3333 0.6667 0.7493  3 Y 3.43, 3 Tb 3.44, 6 Pb 3.71
Tb 0.3333 0.6667 0.0902  3 B 2.62
Tb 0.6667 0.3333 0.9098  3 B 2.62
Y 0.3333 0.6667 0.4102  3 B 2.62
Y 0.6667 0.3333 0.5898  3 B 2.62